1.
Computed, not measured: a relaxed structure of K2TcAu at the PBE level of DFT.

Results
- Space group: I-42d, No. 122
- Spin magnetization: 3.80 μB/f.u.
- Density of states at the Fermi level: 3.54 states/eV/f.u.
- ΔH_f (0 K): 890 meV per atom
- ΔE to the lowest computed polymorph: 1.07 eV per formula unit

```
K2TcAu
1.0
-5.851 5.851 2.619
5.851 -5.851 2.619
5.851 5.851 -2.619
K Tc Au
4 2 2
Cartesian
1.186 2.925 0.655
-2.925 4.665 1.964
-1.186 8.776 0.655
2.925 7.036 1.964
5.851 0.000 1.310
0.000 0.000 2.619
0.000 0.000 0.000
0.000 5.851 1.310
```

***

2.
Computed, not measured: a relaxed structure of Pm3Zn2Si2Pt4 at the PBE level of DFT.

Results
- Electronic total energy: -61.83 eV for the cell shown
- Space group: P-3m1, No. 164
- Spin magnetization: 0.00 μB/f.u.
- Density of states at the Fermi level: 6.78 states/eV/f.u.

```
Pm3Zn2Si2Pt4
1.0
4.228 0.000 0.000
-2.114 3.662 0.000
0.000 0.000 15.002
Pm Zn Si Pt
3 2 2 4
Cartesian
0.000 0.000 0.000
0.000 0.000 4.140
0.000 0.000 10.863
0.000 2.441 8.388
2.114 1.221 6.615
0.000 2.441 2.083
2.114 1.221 12.919
0.000 2.441 5.797
0.000 2.441 12.949
2.114 1.221 2.053
2.114 1.221 9.206
```